No. 1
Computed, not measured: a relaxed NiMo2P crystal at the PBE-GGA level of DFT. Values from VASP.

Cell and atoms, written as Quantum ESPRESSO input:
```
&SYSTEM
  ibrav = 0, nat = 8, ntyp = 3
/
ATOMIC_SPECIES
Ni 58.69 Ni.upf
Mo 95.94 Mo.upf
P 30.97 P.upf
CELL_PARAMETERS angstrom
-0.068 -1.123 5.338
-4.610 -2.843 -0.657
0.425 -6.265 1.475
ATOMIC_POSITIONS crystal
Ni 0.000 0.000 0.000
Ni 0.750 0.250 0.500
Mo 0.634 0.125 0.250
Mo 0.116 0.625 0.250
Mo 0.375 0.366 0.750
Mo 0.875 0.884 0.750
P 0.500 0.500 0.000
P 0.250 0.750 0.500
```

- spin magnetization (μB/atom) = 0.000
- calculated formation energy (eV/atom) = 0.810
- volume (Å³/f.u.) = 76.9

---

No. 2
Computed, not measured: a relaxed KErMnI6 crystal at the PBE-GGA level of DFT. Values from VASP.

Cell and atoms, written as Quantum ESPRESSO input:
```
&SYSTEM
  ibrav = 0, nat = 18, ntyp = 4
/
ATOMIC_SPECIES
K 39.10 K.upf
Er 167.26 Er.upf
Mn 54.94 Mn.upf
I 126.90 I.upf
CELL_PARAMETERS angstrom
7.433 0.000 0.000
-3.716 6.437 0.000
0.000 0.000 15.815
ATOMIC_POSITIONS crystal
K 0.000 0.000 0.000
K 0.000 0.000 0.500
Er 0.333 0.667 0.250
Er 0.667 0.333 0.750
Mn 0.667 0.333 0.250
Mn 0.333 0.667 0.750
I 0.647 0.618 0.147
I 0.971 0.353 0.147
I 0.353 0.971 0.647
I 0.029 0.647 0.853
I 0.382 0.353 0.353
I 0.971 0.618 0.353
I 0.618 0.971 0.853
I 0.647 0.029 0.353
I 0.029 0.382 0.647
I 0.382 0.029 0.147
I 0.618 0.647 0.647
I 0.353 0.382 0.853
```

- spin magnetization (μB/atom) = 0.098
- raw formation energy (eV/atom) = -0.83
- volume (Å³/f.u.) = 378.3

---

No. 3
Computed, not measured: a relaxed Pr3Cu5F12 crystal at the PBE-GGA level of DFT. Values from VASP.

Cell and atoms, written as Quantum ESPRESSO input:
```
&SYSTEM
  ibrav = 0, nat = 80, ntyp = 3
/
ATOMIC_SPECIES
Pr 140.91 Pr.upf
Cu 63.55 Cu.upf
F 19.00 F.upf
CELL_PARAMETERS angstrom
11.682 0.000 0.000
-3.894 11.014 0.000
-3.894 -5.507 9.538
ATOMIC_POSITIONS crystal
Pr 0.750 0.375 0.125
Pr 0.875 0.750 0.125
Pr 0.375 0.750 0.625
Pr 0.250 0.125 0.375
Pr 0.875 0.125 0.250
Pr 0.375 0.625 0.250
Pr 0.625 0.375 0.750
Pr 0.125 0.875 0.750
Pr 0.750 0.875 0.625
Pr 0.625 0.250 0.375
Pr 0.125 0.250 0.875
Pr 0.250 0.625 0.875
Cu 0.125 0.375 0.250
Cu 0.000 0.500 0.000
Cu 0.000 0.000 0.000
Cu 0.375 0.250 0.125
Cu 0.500 0.000 0.500
Cu 0.500 0.500 0.000
Cu 0.125 0.750 0.375
Cu 0.750 0.125 0.875
Cu 0.750 0.625 0.375
Cu 0.375 0.125 0.750
Cu 0.625 0.875 0.250
Cu 0.500 0.500 0.500
Cu 0.500 0.000 0.000
Cu 0.000 0.000 0.500
Cu 0.250 0.375 0.625
Cu 0.250 0.875 0.125
Cu 0.000 0.500 0.500
Cu 0.875 0.250 0.625
Cu 0.625 0.750 0.875
Cu 0.875 0.625 0.750
F 0.725 0.139 0.058
F 0.333 0.558 0.419
F 0.942 0.361 0.275
F 0.558 0.225 0.139
F 0.586 0.725 0.667
F 0.942 0.581 0.167
F 0.333 0.775 0.414
F 0.081 0.914 0.139
F 0.581 0.942 0.667
F 0.725 0.586 0.167
F 0.775 0.442 0.361
F 0.833 0.919 0.058
F 0.139 0.725 0.558
F 0.361 0.419 0.086
F 0.086 0.919 0.361
F 0.414 0.139 0.581
F 0.086 0.167 0.225
F 0.442 0.667 0.081
F 0.833 0.914 0.275
F 0.139 0.414 0.081
F 0.361 0.942 0.775
F 0.581 0.639 0.414
F 0.919 0.833 0.558
F 0.775 0.333 0.914
F 0.419 0.361 0.586
F 0.081 0.167 0.442
F 0.225 0.667 0.086
F 0.167 0.086 0.725
F 0.639 0.058 0.225
F 0.861 0.586 0.919
F 0.558 0.333 0.919
F 0.586 0.861 0.419
F 0.914 0.833 0.775
F 0.914 0.081 0.639
F 0.861 0.275 0.442
F 0.167 0.081 0.942
F 0.639 0.581 0.914
F 0.419 0.058 0.333
F 0.275 0.414 0.833
F 0.225 0.558 0.639
F 0.919 0.086 0.861
F 0.667 0.225 0.586
F 0.442 0.775 0.861
F 0.058 0.419 0.833
F 0.414 0.275 0.333
F 0.058 0.639 0.725
F 0.667 0.442 0.581
F 0.275 0.861 0.942
```

- spin magnetization (μB/atom) = 0.000
- raw formation energy (eV/atom) = -2.29
- volume (Å³/f.u.) = 306.8

---

No. 4
Computed, not measured: a relaxed Dy3Pd4Au2 crystal at the PBE-GGA level of DFT. Values from VASP.

Cell and atoms, written as Quantum ESPRESSO input:
```
&SYSTEM
  ibrav = 0, nat = 18, ntyp = 3
/
ATOMIC_SPECIES
Dy 162.50 Dy.upf
Pd 106.42 Pd.upf
Au 196.97 Au.upf
CELL_PARAMETERS angstrom
-1.285 -2.083 4.598
7.504 1.001 3.980
-0.319 7.201 4.603
ATOMIC_POSITIONS crystal
Dy 0.087 0.955 0.713
Dy 0.413 0.287 0.045
Dy 0.913 0.045 0.287
Dy 0.587 0.713 0.955
Dy 0.250 0.368 0.632
Dy 0.750 0.632 0.368
Pd 0.532 0.067 0.822
Pd 0.968 0.178 0.933
Pd 0.468 0.933 0.178
Pd 0.032 0.822 0.067
Pd 0.641 0.850 0.592
Pd 0.859 0.408 0.150
Pd 0.359 0.150 0.408
Pd 0.141 0.592 0.850
Au 0.201 0.738 0.490
Au 0.299 0.510 0.262
Au 0.799 0.262 0.510
Au 0.701 0.490 0.738
```

- spin magnetization (μB/atom) = 0.000
- calculated formation energy (eV/atom) = -0.836
- volume (Å³/f.u.) = 177.7

---

No. 5
Computed, not measured: a relaxed YPaIr2 crystal at the PBE-GGA level of DFT. Values from VASP.

Cell and atoms, written as Quantum ESPRESSO input:
```
&SYSTEM
  ibrav = 0, nat = 4, ntyp = 3
/
ATOMIC_SPECIES
Y 88.91 Y.upf
Pa 231.04 Pa.upf
Ir 192.22 Ir.upf
CELL_PARAMETERS angstrom
4.603 0.000 0.000
2.301 3.986 0.000
2.301 1.329 4.780
ATOMIC_POSITIONS crystal
Y 0.000 0.000 0.000
Pa 0.500 0.500 0.500
Ir 0.779 0.779 0.663
Ir 0.221 0.221 0.337
```

- spin magnetization (μB/atom) = 0.000
- calculated formation energy (eV/atom) = -0.777
- volume (Å³/f.u.) = 87.7

---

No. 6
Computed, not measured: a relaxed YReRh3 crystal at the PBE-GGA level of DFT. Values from VASP.

Cell and atoms, written as Quantum ESPRESSO input:
```
&SYSTEM
  ibrav = 0, nat = 5, ntyp = 3
/
ATOMIC_SPECIES
Y 88.91 Y.upf
Re 186.21 Re.upf
Rh 102.91 Rh.upf
CELL_PARAMETERS angstrom
4.732 0.000 0.000
0.000 4.732 0.000
0.000 0.000 4.732
ATOMIC_POSITIONS crystal
Y 0.500 0.500 0.500
Re 0.000 0.000 0.000
Rh 0.000 0.500 0.000
Rh 0.000 0.000 0.500
Rh 0.500 0.000 0.000
```

- spin magnetization (μB/atom) = 0.000
- calculated formation energy (eV/atom) = 0.400
- volume (Å³/f.u.) = 106.0

---

No. 7
Computed, not measured: a relaxed CaTlP3 crystal at the PBE-GGA level of DFT. Values from VASP.

Cell and atoms, written as Quantum ESPRESSO input:
```
&SYSTEM
  ibrav = 0, nat = 5, ntyp = 3
/
ATOMIC_SPECIES
P 30.97 P.upf
Tl 204.38 Tl.upf
Ca 40.08 Ca.upf
CELL_PARAMETERS angstrom
5.274 0.000 0.000
0.000 5.274 0.000
0.000 0.000 5.274
ATOMIC_POSITIONS crystal
P 0.000 0.500 0.000
P 0.000 0.000 0.500
P 0.500 0.000 0.000
Tl 0.500 0.500 0.500
Ca 0.000 0.000 0.000
```

- spin magnetization (μB/atom) = 0.000
- calculated formation energy (eV/atom) = 0.815
- volume (Å³/f.u.) = 146.7

---

No. 8
Computed, not measured: a relaxed NiB2Ir crystal at the PBE-GGA level of DFT. Values from VASP.

Cell and atoms, written as Quantum ESPRESSO input:
```
&SYSTEM
  ibrav = 0, nat = 4, ntyp = 3
/
ATOMIC_SPECIES
Ni 58.69 Ni.upf
B 10.81 B.upf
Ir 192.22 Ir.upf
CELL_PARAMETERS angstrom
-0.745 2.613 0.076
-1.146 1.151 -2.180
-7.009 -0.633 1.654
ATOMIC_POSITIONS crystal
Ni 0.000 0.000 0.000
B 0.092 0.092 0.725
B 0.908 0.908 0.275
Ir 0.500 0.500 0.500
```

- spin magnetization (μB/atom) = 0.000
- calculated formation energy (eV/atom) = 0.601
- volume (Å³/f.u.) = 45.2